4
Lattice="0.000 3.553 3.553 3.553 0.000 3.553 3.553 3.553 0.000" Properties=species:S:1:pos:R:3 comment="LaTmGaOs, relaxed, DFT PBE" total_magnetization_mub_per_cell=0.0 energy_ev_per_cell=-24.710 formation_enthalpy_0k_mev_per_atom=-264 pbc="T T T"
La 0.000 0.000 0.000
Tm 3.553 3.553 3.553
Ga 1.776 1.776 1.776
Os 5.329 5.329 5.329

=====

4
Lattice="0.000 3.581 3.581 3.581 0.000 3.581 3.581 3.581 0.000" Properties=species:S:1:pos:R:3 comment="LaYGaOs, relaxed, DFT PBE" total_magnetization_mub_per_cell=0.0 energy_ev_per_cell=-26.633 formation_enthalpy_0k_mev_per_atom=-246 pbc="T T T"
La 0.000 0.000 0.000
Y 3.581 3.581 3.581
Ga 5.371 5.371 5.371
Os 1.790 1.790 1.790

=====

4
Lattice="0.000 3.703 3.703 3.703 0.000 3.703 3.703 3.703 0.000" Properties=species:S:1:pos:R:3 comment="La2GaP, relaxed, DFT PBE" relative_energy_ev_per_atom=0.3763 total_magnetization_mub_per_cell=0.0 energy_ev_per_cell=-21.088 formation_enthalpy_0k_mev_per_atom=-699 pbc="T T T"
La 1.851 1.851 1.851
La 5.554 5.554 5.554
Ga 0.000 0.000 0.000
P 3.703 3.703 3.703

=====

7
Lattice="-2.681 2.681 6.610 2.681 -2.681 6.610 2.681 2.681 -6.610" Properties=species:S:1:pos:R:3 comment="LaGa2P4, relaxed, DFT PBE" total_magnetization_mub_per_cell=0.0 energy_ev_per_cell=-29.449 formation_enthalpy_0k_mev_per_atom=453 pbc="T T T"
La 0.000 0.000 0.000
Ga 0.000 0.000 5.371
Ga 0.000 0.000 7.850
P 2.681 0.000 0.000
P 0.000 0.000 3.116
P 0.000 2.681 0.000
P 0.000 0.000 10.105

=====

32
Lattice="12.461 0.000 0.000 0.000 9.287 0.000 0.000 0.000 8.151" Properties=species:S:1:pos:R:3 comment="La5Ga2P, relaxed, DFT PBE" total_magnetization_mub_per_cell=3.7 energy_ev_per_cell=-165.668 formation_enthalpy_0k_mev_per_atom=-665 pbc="T T T"
La 0.070 2.322 0.469
La 0.887 0.415 5.578
La 0.887 4.228 5.578
La 2.515 6.965 2.838
La 2.637 2.322 2.631
La 3.593 6.965 6.706
La 3.716 2.322 6.913
La 5.343 5.058 1.503
La 5.343 8.872 1.503
La 6.160 6.965 4.544
La 6.300 2.322 3.606
La 7.118 0.415 6.648
La 7.118 4.228 6.648
La 8.745 6.965 1.237
La 8.868 2.322 1.444
La 9.823 6.965 5.520
La 9.946 2.322 5.313
La 11.574 5.058 2.572
La 11.574 8.872 2.572
La 12.391 6.965 7.682
Ga 2.142 4.744 0.468
Ga 2.142 9.186 0.468
Ga 4.088 0.101 4.543
Ga 4.088 4.543 4.543
Ga 8.372 4.744 3.608
Ga 8.372 9.186 3.608
Ga 10.319 0.101 7.683
Ga 10.319 4.543 7.683
P 0.214 6.965 4.641
P 6.017 2.322 0.565
P 6.444 6.965 7.585
P 12.247 2.322 3.510

=====

5
Lattice="-2.009 2.009 6.713 2.009 -2.009 6.713 2.009 2.009 -6.713" Properties=species:S:1:pos:R:3 comment="LaGa2P2, relaxed, DFT PBE" relative_energy_ev_per_atom=0.0294 total_magnetization_mub_per_cell=0.0 energy_ev_per_cell=-24.464 formation_enthalpy_0k_mev_per_atom=-533 pbc="T T T"
La 0.000 0.000 0.000
Ga 2.009 0.000 3.357
Ga 0.000 2.009 3.357
P 0.000 0.000 5.601
P 0.000 0.000 7.825

=====

5
Lattice="5.476 0.000 0.000 0.000 5.476 0.000 0.000 0.000 5.476" Properties=species:S:1:pos:R:3 comment="LaGaP3, relaxed, DFT PBE" relative_energy_ev_per_atom=0.8863 total_magnetization_mub_per_cell=0.0 energy_ev_per_cell=-20.366 formation_enthalpy_0k_mev_per_atom=764 pbc="T T T"
La 0.000 0.000 0.000
Ga 2.738 2.738 2.738
P 0.000 0.000 2.738
P 0.000 2.738 0.000
P 2.738 0.000 0.000

=====

8
Lattice="-3.990 3.990 3.705 3.990 -3.990 3.705 3.990 3.990 -3.705" Properties=species:S:1:pos:R:3 comment="La2GaP, relaxed, DFT PBE" relative_energy_ev_per_atom=0.4130 total_magnetization_mub_per_cell=0.0 energy_ev_per_cell=-41.883 formation_enthalpy_0k_mev_per_atom=-662 pbc="T T T"
La 5.984 1.822 -0.926
La 1.822 1.995 0.926
La -1.995 2.168 2.779
La 2.168 1.995 4.631
Ga 3.990 0.000 1.852
Ga 0.000 0.000 3.705
P 0.000 0.000 0.000
P 0.000 3.990 1.852

=====

5
Lattice="-2.411 2.411 4.349 2.411 -2.411 4.349 2.411 2.411 -4.349" Properties=species:S:1:pos:R:3 comment="LaGa2P2, relaxed, DFT PBE" relative_energy_ev_per_atom=0.0000 total_magnetization_mub_per_cell=0.0 energy_ev_per_cell=-24.611 formation_enthalpy_0k_mev_per_atom=-562 pbc="T T T"
La 0.000 0.000 0.000
Ga 0.000 0.000 3.070
Ga 0.000 0.000 5.627
P 2.411 0.000 2.174
P 0.000 2.411 2.174

=====

4
Lattice="1.982 1.144 9.869 -1.982 1.144 9.869 0.000 -2.288 9.869" Properties=species:S:1:pos:R:3 comment="La2GaP, relaxed, DFT PBE" relative_energy_ev_per_atom=0.5179 total_magnetization_mub_per_cell=0.0 energy_ev_per_cell=-20.522 formation_enthalpy_0k_mev_per_atom=-558 pbc="T T T"
La 0.000 0.000 3.219
La 0.000 0.000 26.388
Ga 0.000 0.000 0.000
P 0.000 0.000 14.803

=====

5
Lattice="4.755 0.000 0.000 0.000 4.755 0.000 0.000 0.000 4.755" Properties=species:S:1:pos:R:3 comment="LaGaP3, relaxed, DFT PBE" relative_energy_ev_per_atom=0.0000 total_magnetization_mub_per_cell=0.0 energy_ev_per_cell=-24.797 formation_enthalpy_0k_mev_per_atom=-123 pbc="T T T"
La 0.000 0.000 0.000
Ga 2.378 2.378 2.378
P 0.000 2.378 2.378
P 2.378 0.000 2.378
P 2.378 2.378 0.000

=====

8
Lattice="2.159 -12.366 0.000 2.159 12.366 0.000 0.000 0.000 4.268" Properties=species:S:1:pos:R:3 comment="La2GaP, relaxed, DFT PBE" relative_energy_ev_per_atom=0.0000 total_magnetization_mub_per_cell=0.0 energy_ev_per_cell=-45.187 formation_enthalpy_0k_mev_per_atom=-1075 pbc="T T T"
La 2.159 10.622 3.201
La 2.159 4.730 3.201
La 2.159 -4.730 1.067
La 2.159 -10.622 1.067
Ga 2.159 0.785 3.201
Ga 2.159 -0.785 1.067
P 2.159 7.684 3.201
P 2.159 -7.684 1.067